Record 1
This record from Alexandria via LeMat-Bulk describes a relaxed structure of Li2ErInBr6. The functional is PBE.

Unit cell a=7.8685 b=7.8685 c=7.8685 alpha=54.96 beta=54.96 gamma=54.96
Fractional positions:
Li 0.0000 0.0000 0.0000
Li 0.4901 0.4901 0.4901
Er 0.6839 0.6839 0.6839
In 0.2024 0.2024 0.2024
Br 0.0905 0.4199 0.7472
Br 0.2698 0.8448 0.6657
Br 0.4199 0.7472 0.0905
Br 0.6657 0.2698 0.8448
Br 0.7472 0.0905 0.4199
Br 0.8448 0.6657 0.2698

Output
As for the energy relative to the elements, uncorrected: -1.463 eV per atom. The symmetry is R3, No. 146.



Record 2
This record from Alexandria via LeMat-Bulk describes a relaxed structure of LaSmHo2Th. The functional is PBE.

Unit cell a=3.5340 b=5.6928 c=8.7535 alpha=90.00 beta=90.00 gamma=90.00
Fractional positions:
La 0.0000 0.0000 0.0000
Sm 0.5000 0.0000 0.5000
Ho 0.0000 0.5000 0.3205
Ho 0.0000 0.5000 0.6795
Th 0.5000 0.5000 0.0000

Output
For the calculated formation energy, the calculation gives 0.27 eV per atom. The symmetry is Pmmm, No. 47.



Record 3
This record from Alexandria via LeMat-Bulk describes a relaxed structure of Ag2HgS. The functional is PBE.

Unit cell a=5.6611 b=5.6611 c=14.2141 alpha=90.00 beta=90.00 gamma=90.00
Fractional positions:
Ag 0.1347 0.2500 0.1250
Ag 0.2500 0.6347 0.3750
Ag 0.2500 0.8653 0.8750
Ag 0.3653 0.2500 0.6250
Ag 0.6347 0.7500 0.6250
Ag 0.7500 0.1347 0.8750
Ag 0.7500 0.3653 0.3750
Ag 0.8653 0.7500 0.1250
Hg 0.0000 0.0000 0.5000
Hg 0.0000 0.5000 0.7500
Hg 0.5000 0.0000 0.2500
Hg 0.5000 0.5000 0.0000
S 0.0000 0.0000 0.0000
S 0.0000 0.5000 0.2500
S 0.5000 0.0000 0.7500
S 0.5000 0.5000 0.5000

Output
As for the energy relative to the elements, uncorrected: 0.023 eV per atom. The calculation puts the energy relative to the lowest polymorph listed for this composition at 0 meV per atom. The symmetry is I-42d, No. 122.



Record 4
This record from Alexandria via LeMat-Bulk describes a relaxed structure of HgGeBr2F. The functional is PBE.

Unit cell a=5.5600 b=5.5600 c=4.1699 alpha=90.00 beta=90.00 gamma=90.00
Fractional positions:
Hg 0.0000 0.0000 0.0000
Ge 0.5000 0.5000 0.5000
Br 0.0000 0.5000 0.5000
Br 0.5000 0.0000 0.5000
F 0.5000 0.5000 0.0000

Output
As for the energy relative to the elements, uncorrected: -0.732 eV per atom. The symmetry is P4/mmm, No. 123.



Record 5
This record from Alexandria via LeMat-Bulk describes a relaxed structure of CsNpCuSe4. The functional is PBE.

Unit cell a=7.0881 b=5.7841 c=10.0576 alpha=90.00 beta=105.68 gamma=90.00
Fractional positions:
Cs 0.2330 0.2500 0.0467
Cs 0.7670 0.7500 0.9533
Np 0.2665 0.2500 0.5513
Np 0.7335 0.7500 0.4487
Cu 0.2646 0.7500 0.3408
Cu 0.7354 0.2500 0.6592
Se 0.0106 0.5106 0.6877
Se 0.0106 0.9894 0.6877
Se 0.4272 0.7500 0.5808
Se 0.4757 0.7500 0.1938
Se 0.5243 0.2500 0.8062
Se 0.5728 0.2500 0.4192
Se 0.9894 0.0106 0.3123
Se 0.9894 0.4894 0.3123

Output
As for the energy relative to the elements, uncorrected: -0.831 eV per atom. The symmetry is P2_1/m, No. 11.



Record 6
This record from Alexandria via LeMat-Bulk describes a relaxed structure of BaLaW4. The functional is PBE.

Unit cell a=5.6968 b=5.6968 c=5.6968 alpha=60.00 beta=60.00 gamma=60.00
Fractional positions:
Ba 0.0000 0.0000 0.0000
La 0.7500 0.7500 0.7500
W 0.3752 0.3752 0.3752
W 0.3752 0.3752 0.8745
W 0.3752 0.8745 0.3752
W 0.8745 0.3752 0.3752

Output
For the calculated formation energy, the calculation gives 0.79 eV per atom. The symmetry is F-43m, No. 216.



Record 7
This record from Alexandria via LeMat-Bulk describes a relaxed structure of MnFeSCl2. The functional is PBE.

Unit cell a=4.6643 b=4.6643 c=4.7072 alpha=90.00 beta=90.00 gamma=90.00
Fractional positions:
Mn 0.0000 0.0000 0.0000
Fe 0.5000 0.5000 0.5000
S 0.5000 0.5000 0.0000
Cl 0.0000 0.5000 0.5000
Cl 0.5000 0.0000 0.5000

Output
As for the energy relative to the elements, uncorrected: 0.013 eV per atom. The calculation puts the energy relative to the lowest polymorph listed for this composition at 0 meV per atom. The symmetry is P4/mmm, No. 123.



Record 8
This record from Alexandria via LeMat-Bulk describes a relaxed structure of Tb2MoC. The functional is PBE.

Unit cell a=3.3604 b=3.3604 c=25.8399 alpha=90.00 beta=90.00 gamma=120.00
Fractional positions:
Tb 0.0000 0.0000 0.1123
Tb 0.0000 0.0000 0.8877
Tb 0.3333 0.6667 0.5544
Tb 0.3333 0.6667 0.7790
Tb 0.6667 0.3333 0.2210
Tb 0.6667 0.3333 0.4456
Mo 0.0000 0.0000 0.0000
Mo 0.3333 0.6667 0.6667
Mo 0.6667 0.3333 0.3333
C 0.0000 0.0000 0.5000
C 0.3333 0.6667 0.1667
C 0.6667 0.3333 0.8333

Output
For the calculated formation energy, the calculation gives 0.63 eV per atom. The symmetry is R-3m, No. 166.



Record 9
This record from Alexandria via LeMat-Bulk describes a relaxed structure of Nd11Er9Tm4. The functional is PBE.

Unit cell a=15.3612 b=15.3612 c=3.6411 alpha=90.00 beta=90.00 gamma=113.17
Fractional positions:
Nd 0.0000 0.0000 0.0000
Nd 0.0430 0.4053 0.0000
Nd 0.1604 0.8396 0.0000
Nd 0.2934 0.2934 0.0000
Nd 0.3687 0.6313 0.0000
Nd 0.4053 0.0430 0.0000
Nd 0.5947 0.9570 0.0000
Nd 0.6313 0.3687 0.0000
Nd 0.7066 0.7066 0.0000
Nd 0.8396 0.1604 0.0000
Nd 0.9570 0.5947 0.0000
Er 0.0694 0.2144 0.5000
Er 0.1661 0.6302 0.5000
Er 0.2144 0.0694 0.5000
Er 0.3698 0.8339 0.5000
Er 0.5000 0.5000 0.5000
Er 0.6302 0.1661 0.5000
Er 0.7856 0.9306 0.5000
Er 0.8339 0.3698 0.5000
Er 0.9306 0.7856 0.5000
Tm 0.2409 0.4448 0.5000
Tm 0.4448 0.2409 0.5000
Tm 0.5552 0.7591 0.5000
Tm 0.7591 0.5552 0.5000

Output
For the calculated formation energy, the calculation gives 0.05 eV per atom. The symmetry is Cmmm, No. 65.



Record 10
This record from Alexandria via LeMat-Bulk describes a relaxed structure of PmGaSb. The functional is PBE.

Unit cell a=4.7488 b=4.7488 c=4.0330 alpha=90.00 beta=90.00 gamma=120.00
Fractional positions:
Pm 0.0000 0.0000 0.0000
Ga 0.3333 0.6667 0.4196
Sb 0.6667 0.3333 0.5271

Output
As for the energy relative to the elements, uncorrected: -0.554 eV per atom. The calculation puts the energy relative to the lowest polymorph listed for this composition at 0 meV per atom. The symmetry is P3m1, No. 156.



Record 11
This record from Alexandria via LeMat-Bulk describes a relaxed structure of LiIrN3. The functional is PBE.

Unit cell a=3.5107 b=3.5107 c=3.5107 alpha=90.00 beta=90.00 gamma=90.00
Fractional positions:
Li 0.0000 0.0000 0.0000
Ir 0.5000 0.5000 0.5000
N 0.0000 0.0000 0.5000
N 0.0000 0.5000 0.0000
N 0.5000 0.0000 0.0000

Output
As for the energy relative to the elements, uncorrected: 2.274 eV per atom. The symmetry is Pm-3m, No. 221.



Record 12
This record from Alexandria via LeMat-Bulk describes a relaxed structure of LaCu2P. The functional is PBE.

Unit cell a=3.3133 b=3.3133 c=6.5230 alpha=90.00 beta=90.00 gamma=90.00
Fractional positions:
La 0.0000 0.0000 0.0000
Cu 0.0000 0.0000 0.4858
Cu 0.5000 0.5000 0.6673
P 0.5000 0.5000 0.3105

Output
For the calculated formation energy, the calculation gives -0.16 eV per atom. The symmetry is P4mm, No. 99.



Record 13
This record from Alexandria via LeMat-Bulk describes a relaxed structure of Sc3AuN. The functional is PBE.

Unit cell a=6.6906 b=3.3332 c=7.9500 alpha=90.00 beta=93.14 gamma=90.00
Fractional positions:
Sc 0.0849 0.2500 0.3539
Sc 0.1895 0.2500 0.9170
Sc 0.3614 0.7500 0.6357
Sc 0.6386 0.2500 0.3643
Sc 0.8105 0.7500 0.0830
Sc 0.9151 0.7500 0.6461
Au 0.3528 0.7500 0.1785
Au 0.6472 0.2500 0.8215
N 0.1415 0.2500 0.6308
N 0.8585 0.7500 0.3692

Output
As for the energy relative to the elements, uncorrected: -1.039 eV per atom. The symmetry is P2_1/m, No. 11.



Record 14
This record from Alexandria via LeMat-Bulk describes a relaxed structure of Ce5CdPb4. The functional is PBE.

Unit cell a=4.2036 b=4.2036 c=16.4998 alpha=90.00 beta=90.00 gamma=90.00
Fractional positions:
Ce 0.0000 0.0000 0.0000
Ce 0.0000 0.0000 0.2030
Ce 0.0000 0.0000 0.3967
Ce 0.0000 0.0000 0.6033
Ce 0.0000 0.0000 0.7970
Cd 0.5000 0.5000 0.5000
Pb 0.5000 0.5000 0.1011
Pb 0.5000 0.5000 0.3033
Pb 0.5000 0.5000 0.6967
Pb 0.5000 0.5000 0.8989

Output
For the calculated formation energy, the calculation gives -0.34 eV per atom. The symmetry is P4/mmm, No. 123.



Record 15
This record from Alexandria via LeMat-Bulk describes a relaxed structure of TcAs2W. The functional is PBE.

Unit cell a=2.9971 b=4.0110 c=5.3504 alpha=90.00 beta=92.73 gamma=90.00
Fractional positions:
Tc 0.0000 0.0000 0.0000
As 0.1957 0.5000 0.7483
As 0.8043 0.5000 0.2517
W 0.5000 0.0000 0.5000

Output
For the calculated formation energy, the calculation gives 0.46 eV per atom. The calculation puts the energy relative to the lowest polymorph listed for this composition at 430 meV per atom. The symmetry is P2/m, No. 10.



Record 16
This record from Alexandria via LeMat-Bulk describes a relaxed structure of La2YGa. The functional is PBE.

Unit cell a=3.7970 b=3.7970 c=8.6953 alpha=90.00 beta=90.00 gamma=90.00
Fractional positions:
La 0.0000 0.0000 0.2062
La 0.0000 0.0000 0.7938
Y 0.5000 0.5000 0.5000
Ga 0.5000 0.5000 0.0000

Output
For the calculated formation energy, the calculation gives -0.23 eV per atom. The symmetry is P4/mmm, No. 123.



Record 17
This record from Alexandria via LeMat-Bulk describes a relaxed structure of NaNp3Tl2S8. The functional is PBE.

Unit cell a=8.8089 b=8.8089 c=8.8089 alpha=54.60 beta=54.60 gamma=54.60
Fractional positions:
Na 0.0000 0.0000 0.0000
Np 0.3830 0.3830 0.8853
Np 0.3830 0.8853 0.3830
Np 0.8853 0.3830 0.3830
Tl 0.3820 0.3820 0.3820
Tl 0.7554 0.7554 0.7554
S 0.1271 0.1271 0.5861
S 0.1271 0.5861 0.1271
S 0.1525 0.1525 0.1525
S 0.1857 0.6401 0.6401
S 0.5861 0.1271 0.1271
S 0.6112 0.6112 0.6112
S 0.6401 0.1857 0.6401
S 0.6401 0.6401 0.1857

Output
As for the energy relative to the elements, uncorrected: -1.036 eV per atom. The symmetry is R3m, No. 160.



Record 18
This record from Alexandria via LeMat-Bulk describes a relaxed structure of Na4Hf3MgS8. The functional is PBE.

Unit cell a=7.4102 b=7.4102 c=7.9567 alpha=117.76 beta=117.76 gamma=60.00
Fractional positions:
Na 0.0000 0.0000 0.0000
Na 0.0000 0.5000 0.0000
Na 0.5000 0.0000 0.0000
Na 0.5000 0.5000 0.0000
Hf 0.0000 0.0000 0.5000
Hf 0.0000 0.5000 0.5000
Hf 0.5000 0.0000 0.5000
Mg 0.5000 0.5000 0.5000
S 0.2368 0.7404 0.7172
S 0.2404 0.2404 0.7205
S 0.2587 0.2587 0.2818
S 0.2596 0.7632 0.2828
S 0.7404 0.2368 0.7172
S 0.7413 0.7413 0.7182
S 0.7596 0.7596 0.2795
S 0.7632 0.2596 0.2828

Output
As for the energy relative to the elements, uncorrected: -1.465 eV per atom. The symmetry is C2/m, No. 12.



Record 19
This record from Alexandria via LeMat-Bulk describes a relaxed structure of MgBe3Ru. The functional is PBE.

Unit cell a=4.0904 b=4.0904 c=4.0904 alpha=90.00 beta=90.00 gamma=90.00
Fractional positions:
Mg 0.0000 0.0000 0.0000
Be 0.0000 0.0000 0.5000
Be 0.0000 0.5000 0.0000
Be 0.5000 0.0000 0.0000
Ru 0.5000 0.5000 0.5000

Output
For the calculated formation energy, the calculation gives 1.64 eV per atom. The calculation puts the energy relative to the lowest polymorph listed for this composition at 1254 meV per atom. The symmetry is Pm-3m, No. 221.



Record 20
This record from Alexandria via LeMat-Bulk describes a relaxed structure of BiPtS2N. The functional is PBE.

Unit cell a=5.2139 b=5.2139 c=4.0656 alpha=90.00 beta=90.00 gamma=90.00
Fractional positions:
Bi 0.0000 0.0000 0.0000
Pt 0.5000 0.5000 0.5000
S 0.0000 0.5000 0.0000
S 0.5000 0.0000 0.0000
N 0.0000 0.0000 0.5000

Output
As for the energy relative to the elements, uncorrected: 1.665 eV per atom. The calculation puts the energy relative to the lowest polymorph listed for this composition at 1252 meV per atom. The symmetry is P4/mmm, No. 123.



Record 21
This record from Alexandria via LeMat-Bulk describes a relaxed structure of Ba4InI3. The functional is PBE.

Unit cell a=8.8085 b=10.2344 c=8.8272 alpha=90.00 beta=109.03 gamma=90.00
Fractional positions:
Ba 0.2324 0.1113 0.0030
Ba 0.2324 0.8887 0.5030
Ba 0.2328 0.3629 0.4816
Ba 0.2328 0.6371 0.9816
Ba 0.7672 0.3629 0.0184
Ba 0.7672 0.6371 0.5184
Ba 0.7676 0.1113 0.4970
Ba 0.7676 0.8887 0.9970
In 0.0000 0.1292 0.2500
In 0.0000 0.8708 0.7500
I 0.0000 0.3759 0.7500
I 0.0000 0.6241 0.2500
I 0.5000 0.1399 0.7500
I 0.5000 0.3875 0.2500
I 0.5000 0.6125 0.7500
I 0.5000 0.8601 0.2500

Output
As for the energy relative to the elements, uncorrected: -1.116 eV per atom. The symmetry is P2/c, No. 13.



Record 22
This record from Alexandria via LeMat-Bulk describes a relaxed structure of LaPm4Tm3. The functional is PBE.

Unit cell a=3.4759 b=11.7394 c=13.0123 alpha=90.00 beta=90.00 gamma=90.00
Fractional positions:
La 0.0000 0.0000 0.0000
La 0.5000 0.5000 0.5000
Pm 0.0000 0.2505 0.1337
Pm 0.0000 0.2505 0.8663
Pm 0.0000 0.7495 0.1337
Pm 0.0000 0.7495 0.8663
Pm 0.5000 0.2495 0.3663
Pm 0.5000 0.2495 0.6337
Pm 0.5000 0.7505 0.3663
Pm 0.5000 0.7505 0.6337
Tm 0.0000 0.0000 0.5000
Tm 0.0000 0.5000 0.2584
Tm 0.0000 0.5000 0.7416
Tm 0.5000 0.0000 0.2416
Tm 0.5000 0.0000 0.7584
Tm 0.5000 0.5000 0.0000

Output
For the calculated formation energy, the calculation gives 0.14 eV per atom. The calculation puts the energy relative to the lowest polymorph listed for this composition at 107 meV per atom. The symmetry is Immm, No. 71.



Record 23
This record from Alexandria via LeMat-Bulk describes a relaxed structure of Ce2NdY3Ho6. The functional is PBE.

Unit cell a=6.1463 b=6.1463 c=11.7506 alpha=95.00 beta=95.00 gamma=120.00
Fractional positions:
Ce 0.1667 0.8333 0.0000
Ce 0.8333 0.1667 0.0000
Nd 0.5000 0.5000 0.0000
Y 0.0000 0.0000 0.5000
Y 0.3337 0.6663 0.5000
Y 0.6663 0.3337 0.5000
Ho 0.0800 0.4162 0.7507
Ho 0.2476 0.2476 0.2493
Ho 0.4162 0.0800 0.7507
Ho 0.5838 0.9200 0.2493
Ho 0.7524 0.7524 0.7507
Ho 0.9200 0.5838 0.2493

Output
For the calculated formation energy, the calculation gives 0.05 eV per atom. The symmetry is C2/m, No. 12.